Entry 1:
Ge3Sb2Te6, relaxed, DFT PBE; space-group type = C2/m; D(E_F) = 2.42 states/eV/cell; uncorrected formation energy = -40 meV/atom; total DFT energy (no corrections) = -3.7619 eV/atom
1.0
7.428 -0.006 0.007
4.926 5.559 0.007
2.415 1.086 8.175
Te Ge Sb
6 3 2
direct
0.836 0.836 0.824
0.832 0.832 0.344
0.500 0.500 0.500
0.164 0.164 0.176
0.168 0.168 0.656
0.500 0.500 0.000
0.674 0.674 0.663
0.326 0.326 0.337
0.000 0.000 0.500
0.665 0.665 0.163
0.335 0.335 0.837

=====

Entry 2:
TlW3Au, relaxed, DFT PBE; E_form = 3232 meV/atom; excess energy over the best structure of this formula in the dataset = 306 kJ/mol of formula units; space-group type = Pm-3m; D(E_F) = 6.94 states/eV/cell; total DFT energy (no corrections) = -5.6689 eV/atom
1.0
4.928 0.000 0.000
0.000 4.928 0.000
0.000 0.000 4.928
W Tl Au
3 1 1
direct
0.000 0.500 0.000
0.500 0.000 0.000
0.000 0.000 0.500
0.000 0.000 0.000
0.500 0.500 0.500